5
Lattice="4.758 0.000 0.000 0.000 4.758 0.000 0.000 0.000 4.697" Properties=species:S:1:pos:R:3 comment="ReTc2SBr meta-GGA SCAN single point on PBEsol structure" vol_a3_per_atom=21.3 energy_ev_per_atom=-32.33 pbc="T T T"
Re 0.000 0.000 0.000
Tc 0.000 2.379 0.000
Tc 2.379 0.000 0.000
S 2.379 2.379 2.348
Br 0.000 0.000 2.348

4
Lattice="2.985 0.000 0.000 0.000 2.985 0.000 0.000 0.000 7.777" Properties=species:S:1:pos:R:3 comment="ZnAgAs2 meta-GGA SCAN single point on PBEsol structure" vol_a3_per_atom=17.3 energy_ev_per_atom=-21.04 pbc="T T T"
Zn 0.000 0.000 0.000
Ag 0.000 0.000 3.889
As 1.492 1.492 1.879
As 1.492 1.492 5.899

4
Lattice="3.727 0.000 0.000 0.000 4.831 0.000 0.000 0.000 7.646" Properties=species:S:1:pos:R:3 comment="BaSrPb2 meta-GGA SCAN single point on PBEsol structure" vol_a3_per_atom=34.4 energy_ev_per_atom=-54.09 pbc="T T T"
Ba 0.000 0.000 0.000
Sr 0.000 0.000 3.823
Pb 1.863 2.415 2.114
Pb 1.863 2.415 5.531

5
Lattice="4.285 0.000 0.000 0.000 4.285 0.000 0.000 0.000 4.285" Properties=species:S:1:pos:R:3 comment="MgRu3S meta-GGA SCAN single point on PBEsol structure" polymorph_energy_kcal_per_mol_atoms=0.00 vol_a3_per_atom=15.7 pbc="T T T"
Mg 0.000 0.000 0.000
Ru 0.000 2.143 2.143
Ru 2.143 0.000 2.143
Ru 2.143 2.143 0.000
S 2.143 2.143 2.143

10
Lattice="0.000 5.311 5.311 5.311 0.000 5.311 5.311 5.311 0.000" Properties=species:S:1:pos:R:3 comment="Cs2InHgCl6 meta-GGA SCAN single point on PBEsol structure" vol_a3_per_atom=30.0 energy_ev_per_atom=-24.01 pbc="T T T"
Cs 2.656 2.656 2.656
Cs 7.967 7.967 7.967
In 0.000 0.000 0.000
Hg 5.311 5.311 5.311
Cl 5.311 5.311 2.550
Cl 5.311 2.550 5.311
Cl 8.072 5.311 5.311
Cl 2.550 5.311 5.311
Cl 5.311 8.072 5.311
Cl 5.311 5.311 8.072

5
Lattice="4.867 0.000 0.000 0.000 4.867 0.000 0.000 0.000 4.867" Properties=species:S:1:pos:R:3 comment="NaAlS3 meta-GGA SCAN single point on PBEsol structure" vol_a3_per_atom=23.1 energy_ev_per_atom=-7.39 pbc="T T T"
Na 0.000 0.000 0.000
Al 2.434 2.434 2.434
S 0.000 0.000 2.434
S 0.000 2.434 0.000
S 2.434 0.000 0.000